[1]
VASP calculation (GGA-PBEsol) on crystalline PtWBr2 at its relaxed geometry.

```
4
Lattice="3.014 0.001 0.001 -1.241 5.181 0.007 -1.241 -2.415 4.583" Properties=species:S:1:pos:R:3 pbc="T T T"
W -1.241 1.383 2.295
Br -0.620 -1.208 2.292
Br -0.620 2.590 0.004
Pt 0.000 0.000 0.000
```

=====

[2]
VASP calculation (GGA-PBEsol) on crystalline PtWBr2 at its relaxed geometry.

```
4
Lattice="-0.124 -3.186 2.746 3.988 -0.962 -0.937 -0.712 4.423 1.876" Properties=species:S:1:pos:R:3 pbc="T T T"
Pt 1.932 -2.074 0.905
Br 2.604 0.693 0.922
Br 0.548 -0.419 2.763
W 0.000 0.000 0.000
```

=====

[3]
VASP calculation (GGA-PBEsol) on crystalline Pt2WBr at its relaxed geometry.

```
4
Lattice="2.931 0.000 0.000 0.000 2.931 0.000 0.000 0.000 7.831" Properties=species:S:1:pos:R:3 pbc="T T T"
Pt 1.465 1.465 2.151
Pt 0.000 0.000 0.255
Br 1.465 1.465 5.543
W 0.000 0.000 3.797
```

=====

[4]
VASP calculation (GGA-PBEsol) on crystalline Pt2WBr at its relaxed geometry.

```
4
Lattice="-3.429 2.579 -1.489 -0.962 0.159 -4.436 -3.790 -1.947 -1.573" Properties=species:S:1:pos:R:3 pbc="T T T"
Pt -6.135 0.593 -5.624
Pt -2.045 0.198 -1.875
Br 0.000 0.000 0.000
W -4.090 0.395 -3.749
```

=====

[5]
VASP calculation (GGA-PBEsol) on crystalline YPtBr2 at its relaxed geometry.

```
4
Lattice="-0.572 1.728 3.212 0.069 -3.893 2.107 6.921 -0.207 -0.778" Properties=species:S:1:pos:R:3 pbc="T T T"
Br 4.583 -0.638 1.159
Br 1.836 -1.734 3.382
Y 0.035 -1.947 1.053
Pt -0.286 0.864 1.606
```

=====

[6]
VASP calculation (GGA-PBEsol) on crystalline YPtBr2 at its relaxed geometry.

```
4
Lattice="-2.616 -1.255 2.235 0.979 -3.440 -0.786 4.738 0.072 5.586" Properties=species:S:1:pos:R:3 pbc="T T T"
Pt 2.527 0.039 2.979
Br 0.729 -2.324 2.549
Br 4.462 0.068 5.261
Y 2.491 -2.297 4.626
```

=====

no.,ΔE_f (raw) (eV per atom),energy above the most stable polymorph in this dataset (meV per atom),uncorrected energy (eV/cell)
1,0.94,350,-20.74
2,1.02,433,-20.42
3,0.33,291,-28.29
4,0.84,806,-26.23
5,-0.93,0,-21.26
6,-0.88,48,-21.06